No. 1
# MnOsRh | Alexandria | PBE | relaxed
data_MnOsRh
_space_group_name_H-M_alt 'F m m 2'
_space_group_IT_number 42
_space_group_name_Hall 'F 2 -2'
_cell_length_a 2.807
_cell_length_b 4.560
_cell_length_c 13.225
_cell_angle_alpha 90.00
_cell_angle_beta 90.00
_cell_angle_gamma 90.00
loop_
_atom_site_label
_atom_site_fract_x
_atom_site_fract_y
_atom_site_fract_z
Mn1 0.000 0.000 0.000
Os1 0.000 0.000 0.659
Rh1 0.000 0.000 0.338
# **Calculated total energy**: -9.00 eV per atom
# **E_form**: 0.25 eV per atom


No. 2
# Mn2OsRh | Alexandria | PBE | relaxed
data_Mn2OsRh
_space_group_name_H-M_alt 'F -4 3 m'
_space_group_IT_number 216
_space_group_name_Hall 'F -4 2 3'
_cell_length_a 6.017
_cell_length_b 6.017
_cell_length_c 6.017
_cell_angle_alpha 90.00
_cell_angle_beta 90.00
_cell_angle_gamma 90.00
loop_
_atom_site_label
_atom_site_fract_x
_atom_site_fract_y
_atom_site_fract_z
Mn1 0.000 0.000 0.000
Mn2 0.250 0.250 0.250
Os1 0.250 0.250 0.750
Rh1 0.000 0.000 0.500
# **Calculated total energy**: -8.94 eV per atom
# **E_form**: 0.29 eV per atom


No. 3
# Mn2OsRh | Alexandria | PBE | relaxed
data_Mn2OsRh
_space_group_name_H-M_alt 'P m m 2'
_space_group_IT_number 25
_space_group_name_Hall 'P 2 -2'
_cell_length_a 2.667
_cell_length_b 3.753
_cell_length_c 5.283
_cell_angle_alpha 90.00
_cell_angle_beta 90.00
_cell_angle_gamma 90.00
loop_
_atom_site_label
_atom_site_fract_x
_atom_site_fract_y
_atom_site_fract_z
Mn1 0.000 0.000 0.000
Mn2 0.500 0.500 0.244
Os1 0.000 0.000 0.485
Rh1 0.500 0.500 0.748
# **Calculated total energy**: -9.23 eV per atom
# **E_form**: 0.00 eV per atom


No. 4
# MnOsRh | Alexandria | PBE | relaxed
data_MnOsRh
_space_group_name_H-M_alt 'I 4 m m'
_space_group_IT_number 107
_space_group_name_Hall 'I 4 -2'
_cell_length_a 2.679
_cell_length_b 2.679
_cell_length_c 11.168
_cell_angle_alpha 90.00
_cell_angle_beta 90.00
_cell_angle_gamma 90.00
loop_
_atom_site_label
_atom_site_fract_x
_atom_site_fract_y
_atom_site_fract_z
Mn1 0.000 0.000 0.000
Os1 0.000 0.000 0.343
Rh1 0.000 0.000 0.666
# **Calculated total energy**: -9.20 eV per atom
# **E_form**: 0.05 eV per atom


Question: The lowest calculated total energy belongs to which entry?
Answer: number 3


Repeat the first record exactly.
# MnOsRh | Alexandria | PBE | relaxed
data_MnOsRh
_space_group_name_H-M_alt 'F m m 2'
_space_group_IT_number 42
_space_group_name_Hall 'F 2 -2'
_cell_length_a 2.807
_cell_length_b 4.560
_cell_length_c 13.225
_cell_angle_alpha 90.00
_cell_angle_beta 90.00
_cell_angle_gamma 90.00
loop_
_atom_site_label
_atom_site_fract_x
_atom_site_fract_y
_atom_site_fract_z
Mn1 0.000 0.000 0.000
Os1 0.000 0.000 0.659
Rh1 0.000 0.000 0.338
# **Calculated total energy**: -9.00 eV per atom
# **E_form**: 0.25 eV per atom


Please write out number 2 again, unchanged.
# Mn2OsRh | Alexandria | PBE | relaxed
data_Mn2OsRh
_space_group_name_H-M_alt 'F -4 3 m'
_space_group_IT_number 216
_space_group_name_Hall 'F -4 2 3'
_cell_length_a 6.017
_cell_length_b 6.017
_cell_length_c 6.017
_cell_angle_alpha 90.00
_cell_angle_beta 90.00
_cell_angle_gamma 90.00
loop_
_atom_site_label
_atom_site_fract_x
_atom_site_fract_y
_atom_site_fract_z
Mn1 0.000 0.000 0.000
Mn2 0.250 0.250 0.250
Os1 0.250 0.250 0.750
Rh1 0.000 0.000 0.500
# **Calculated total energy**: -8.94 eV per atom
# **E_form**: 0.29 eV per atom


Question: What is the formula in the second record?
Answer: Mn2OsRh